Record 1
The following is a PBEsol calculation of a relaxed structure of Nd3Ti4O12, from Alexandria via LeMat-Bulk.

Cell: 21.9568 7.6706 5.3355 Å, 90.00 90.00 90.00°
With the nearest neighbours (Å) after each atom.
Atoms (fractional coordinates):
Nd (0.0283, 0.2500, 0.0461)  8 O 2.41-2.59
Nd (0.1759, 0.2500, 0.5674)  8 O 2.36-2.52
Nd (0.1999, 0.7500, 0.5514)  6 O 2.34-2.59
Nd (0.3001, 0.2500, 0.0514)  6 O 2.34-2.59
Nd (0.3241, 0.7500, 0.0674)  8 O 2.36-2.52
Nd (0.4717, 0.7500, 0.5461)  8 O 2.41-2.59
Nd (0.5283, 0.2500, 0.4539)  8 O 2.41-2.59
Nd (0.6759, 0.2500, 0.9326)  8 O 2.36-2.52
Nd (0.6999, 0.7500, 0.9486)  6 O 2.34-2.59
Nd (0.8001, 0.2500, 0.4486)  6 O 2.34-2.59
Nd (0.8241, 0.7500, 0.4326)  8 O 2.36-2.52
Nd (0.9717, 0.7500, 0.9539)  8 O 2.41-2.59
Ti (0.0640, 0.5114, 0.5532)  6 O 1.91-2.06
Ti (0.0640, 0.9886, 0.5532)  6 O 1.91-2.06
Ti (0.1813, 0.5023, 0.0554)  6 O 1.90-2.11
Ti (0.1813, 0.9977, 0.0554)  6 O 1.90-2.11
Ti (0.3187, 0.0023, 0.5554)  6 O 1.90-2.11
Ti (0.3187, 0.4977, 0.5554)  6 O 1.90-2.11
Ti (0.4360, 0.0114, 0.0532)  6 O 1.91-2.06
Ti (0.4360, 0.4886, 0.0532)  6 O 1.91-2.06
Ti (0.5640, 0.5114, 0.9468)  6 O 1.91-2.06
Ti (0.5640, 0.9886, 0.9468)  6 O 1.91-2.06
Ti (0.6813, 0.5023, 0.4446)  6 O 1.90-2.11
Ti (0.6813, 0.9977, 0.4446)  6 O 1.90-2.11
Ti (0.8187, 0.0023, 0.9446)  6 O 1.90-2.11
Ti (0.8187, 0.4977, 0.9446)  6 O 1.90-2.11
Ti (0.9360, 0.0114, 0.4468)  6 O 1.91-2.06
Ti (0.9360, 0.4886, 0.4468)  6 O 1.91-2.06
O (0.0120, 0.5344, 0.2587)  2 Ti 1.95-1.98
O (0.0120, 0.9656, 0.2587)  2 Ti 1.95-1.98
O (0.0649, 0.7500, 0.6572)  2 Ti 1.91
O (0.0697, 0.2500, 0.4638)  2 Ti 2.06
O (0.1130, 0.0616, 0.8558)  2 Ti 1.90-2.02
O (0.1130, 0.4384, 0.8558)  2 Ti 1.90-2.02
O (0.1405, 0.5291, 0.3720)  2 Ti 1.92-1.94
O (0.1405, 0.9709, 0.3720)  2 Ti 1.92-1.94
O (0.1859, 0.7500, 0.9939)  2 Ti 1.93
O (0.1943, 0.2500, 0.1313)  2 Ti 2.00
O (0.2391, 0.0360, 0.7723)  2 Ti 1.99-2.11
O (0.2391, 0.4640, 0.7723)  2 Ti 1.99-2.11
O (0.2609, 0.5360, 0.2723)  2 Ti 1.99-2.11
O (0.2609, 0.9640, 0.2723)  2 Ti 1.99-2.11
O (0.3057, 0.7500, 0.6313)  2 Ti 2.00
O (0.3141, 0.2500, 0.4939)  2 Ti 1.93
O (0.3595, 0.0291, 0.8720)  2 Ti 1.92-1.94
O (0.3595, 0.4709, 0.8720)  2 Ti 1.92-1.94
O (0.3870, 0.5616, 0.3558)  2 Ti 1.90-2.02
O (0.3870, 0.9384, 0.3558)  2 Ti 1.90-2.02
O (0.4303, 0.7500, 0.9638)  2 Ti 2.06
O (0.4351, 0.2500, 0.1572)  2 Ti 1.91
O (0.4880, 0.0344, 0.7587)  2 Ti 1.95-1.98
O (0.4880, 0.4656, 0.7587)  2 Ti 1.95-1.98
O (0.5120, 0.5344, 0.2413)  2 Ti 1.95-1.98
O (0.5120, 0.9656, 0.2413)  2 Ti 1.95-1.98
O (0.5649, 0.7500, 0.8428)  2 Ti 1.91
O (0.5697, 0.2500, 0.0362)  2 Ti 2.06
O (0.6130, 0.0616, 0.6442)  2 Ti 1.90-2.02
O (0.6130, 0.4384, 0.6442)  2 Ti 1.90-2.02
O (0.6405, 0.5291, 0.1280)  2 Ti 1.92-1.94
O (0.6405, 0.9709, 0.1280)  2 Ti 1.92-1.94
O (0.6859, 0.7500, 0.5061)  2 Ti 1.93
O (0.6943, 0.2500, 0.3687)  2 Ti 2.00
O (0.7391, 0.0360, 0.7277)  2 Ti 1.99-2.11
O (0.7391, 0.4640, 0.7277)  2 Ti 1.99-2.11
O (0.7609, 0.5360, 0.2277)  2 Ti 1.99-2.11
O (0.7609, 0.9640, 0.2277)  2 Ti 1.99-2.11
O (0.8057, 0.7500, 0.8687)  2 Ti 2.00
O (0.8141, 0.2500, 0.0061)  2 Ti 1.93
O (0.8595, 0.0291, 0.6280)  2 Ti 1.92-1.94
O (0.8595, 0.4709, 0.6280)  2 Ti 1.92-1.94
O (0.8870, 0.5616, 0.1442)  2 Ti 1.90-2.02
O (0.8870, 0.9384, 0.1442)  2 Ti 1.90-2.02
O (0.9303, 0.7500, 0.5362)  2 Ti 2.06
O (0.9351, 0.2500, 0.3428)  2 Ti 1.91
O (0.9880, 0.0344, 0.7413)  2 Ti 1.95-1.98
O (0.9880, 0.4656, 0.7413)  2 Ti 1.95-1.98

**Magnetic moment**: 0.000 μB/atom
**E above lowest polymorph**: 0.0 meV per atom
**Uncorrected formation energy**: -3.29 eV per atom


Record 2
The following is a PBEsol calculation of a relaxed structure of Cs3KLi, from Alexandria via LeMat-Bulk.

Cell: 8.1324 8.1324 8.1324 Å, 90.00 90.00 90.00°
With the nearest neighbours (Å) after each atom.
Atoms (fractional coordinates):
Cs (0.0000, 0.0000, 0.5000)  2 K 4.07
Cs (0.0000, 0.5000, 0.0000)  2 K 4.07
Cs (0.5000, 0.0000, 0.0000)  2 K 4.07
K (0.0000, 0.0000, 0.0000)  6 Cs 4.07
Li (0.5000, 0.5000, 0.5000)  12 Cs 5.75

**Magnetic moment**: 0.000 μB/atom


Record 3
The following is a PBEsol calculation of a relaxed structure of SrCa2, from Alexandria via LeMat-Bulk.

Cell: 3.9638 3.9638 9.6999 Å, 90.00 90.00 120.00°
With the nearest neighbours (Å) after each atom.
Atoms (fractional coordinates):
Sr (0.0000, 0.0000, 0.0000)  6 Sr 3.96, 6 Ca 4.02
Ca (0.3333, 0.6667, 0.3407)  9 Ca 3.85-3.96, 3 Sr 4.02
Ca (0.6667, 0.3333, 0.6593)  9 Ca 3.85-3.96, 3 Sr 4.02

**Magnetic moment**: 0.001 μB/atom
**E above lowest polymorph**: 7.9 meV per atom


| no. | Fermi-level density of states (states/eV/cell) | E_tot (eV/atom) |
| --- | --- | --- |
| 1 | 23.1 | -9.170 |
| 2 | 4.5 | -0.849 |
| 3 | 3.9 | -2.016 |